DFT (GGA-PBE) results for an optimized crystal structure of La2YSe2S2.

Cell lengths 5.108, 5.108, 8.412 Å; angles 107.67, 107.67, 90.00 degrees
Sites, in units of the cell vectors:
S 0.500 0.000 0.000
S 0.000 0.500 0.000
Y 0.000 0.000 0.000
Se 0.185 0.185 0.369
Se 0.815 0.815 0.631
La 0.624 0.624 0.248
La 0.376 0.376 0.752

Properties
ΔE_f (raw) ... -1806 meV/atom
Electronic total energy ... -6.3122 eV per atom
Total magnetization ... 0.475 μB/f.u.